# 1
6
Lattice="5.9190 0.0000 0.0000 -2.9595 5.1260 0.0000 0.0000 0.0000 4.3872" Properties=species:S:1:pos:R:3 comment="CaTa5 (PBE, relaxed)" e_tot_ev_per_atom=-9.7872 pbc="T T T"
Ca 0.0000 0.0000 0.0000
Ta -1.4797 2.5630 2.1936
Ta 0.0000 3.4173 0.0000
Ta 2.9595 0.0000 2.1936
Ta 1.4797 2.5630 2.1936
Ta 2.9595 1.7087 0.0000

=====

# 2
5
Lattice="3.6518 0.0000 0.0000 0.0000 3.6518 0.0000 0.0000 0.0000 3.6518" Properties=species:S:1:pos:R:3 comment="BH3Se (PBE, relaxed)" e_tot_ev_per_atom=-2.6595 pbc="T T T"
B 0.0000 0.0000 0.0000
H 0.0000 1.8259 1.8259
H 1.8259 0.0000 1.8259
H 1.8259 1.8259 0.0000
Se 1.8259 1.8259 1.8259

=====

For each record above, in turn, the calculated Fermi-level density of states values are 6.90; 1.92 states/eV/cell.